(1)
ErPd2Pb: optimized geometry, GGA-PBE.

Values from the calculation:
space group = P4/mmm
DFT formation energy = -62 kJ/mol of atoms
energy = -5.307 eV/atom
crystal system = tetragonal

a b c (Å): 3.5622 3.5622 6.6383
angles (deg): 90.00 90.00 90.00
Last column: nearest neighbours and their distance in Å.
Fractional positions:
Er (0.0000, 0.0000, 0.0000)  8 Pd 2.94
Pd (0.5000, 0.5000, 0.2279)  4 Er 2.94, 1 Pd 3.03, 4 Pb 3.10
Pd (0.5000, 0.5000, 0.7721)  4 Er 2.94, 1 Pd 3.03, 4 Pb 3.10
Pb (0.0000, 0.0000, 0.5000)  8 Pd 3.10, 2 Er 3.32

(2)
Nd3Sn5Pt6: optimized geometry, GGA-PBE.

Values from the calculation:
space group = Pmmn
DFT formation energy = -84 kJ/mol of atoms
energy = -5.914 eV/atom
crystal system = orthorhombic

a b c (Å): 4.4540 13.5827 10.1140
angles (deg): 90.00 90.00 90.00
Last column: nearest neighbours and their distance in Å.
Fractional positions:
Nd (0.2500, 0.0652, 0.2492)  5 Pt 3.09-3.23, 6 Sn 3.27-3.36
Nd (0.2500, 0.4348, 0.2492)  5 Pt 3.09-3.23, 6 Sn 3.27-3.36
Nd (0.2500, 0.7500, 0.2671)  8 Pt 3.20-3.47, 6 Sn 3.38-3.54
Nd (0.7500, 0.2500, 0.7329)  8 Pt 3.20-3.47, 6 Sn 3.38-3.54
Nd (0.7500, 0.5652, 0.7508)  5 Pt 3.09-3.23, 6 Sn 3.27-3.36
Nd (0.7500, 0.9348, 0.7508)  5 Pt 3.09-3.23, 6 Sn 3.27-3.36
Sn (0.2500, 0.0717, 0.6025)  5 Pt 2.66-2.73
Sn (0.2500, 0.4283, 0.6025)  5 Pt 2.66-2.73
Sn (0.2500, 0.6109, 0.9906)  5 Pt 2.69-2.99
Sn (0.2500, 0.7500, 0.7433)  4 Pt 2.74-2.92
Sn (0.2500, 0.8891, 0.9906)  5 Pt 2.69-2.99
Sn (0.7500, 0.1109, 0.0094)  5 Pt 2.69-2.99
Sn (0.7500, 0.2500, 0.2567)  4 Pt 2.74-2.92
Sn (0.7500, 0.3891, 0.0094)  5 Pt 2.69-2.99
Sn (0.7500, 0.5717, 0.3975)  5 Pt 2.66-2.73
Sn (0.7500, 0.9283, 0.3975)  5 Pt 2.66-2.73
Pt (0.2500, 0.0804, 0.8654)  4 Sn 2.66-2.89
Pt (0.2500, 0.2500, 0.0705)  6 Sn 2.92-2.99, 2 Nd 3.09, 2 Pt 3.10
Pt (0.2500, 0.2500, 0.4870)  2 Sn 2.69, 4 Pt 2.83
Pt (0.2500, 0.4196, 0.8654)  4 Sn 2.66-2.89
Pt (0.2500, 0.6229, 0.5333)  4 Sn 2.71-2.74, 2 Pt 2.83
Pt (0.2500, 0.8771, 0.5333)  4 Sn 2.71-2.74, 2 Pt 2.83
Pt (0.7500, 0.1229, 0.4667)  4 Sn 2.71-2.74, 2 Pt 2.83
Pt (0.7500, 0.3771, 0.4667)  4 Sn 2.71-2.74, 2 Pt 2.83
Pt (0.7500, 0.5804, 0.1346)  4 Sn 2.66-2.89
Pt (0.7500, 0.7500, 0.5130)  2 Sn 2.69, 4 Pt 2.83
Pt (0.7500, 0.7500, 0.9295)  6 Sn 2.92-2.99, 2 Nd 3.09, 2 Pt 3.10
Pt (0.7500, 0.9196, 0.1346)  4 Sn 2.66-2.89

(3)
Ti2HgHPd: optimized geometry, GGA-PBE.

Values from the calculation:
space group = P4/mmm
offset from the most stable computed form = 0.0946 eV per atom
energy = -5.107 eV/atom
crystal system = tetragonal

a b c (Å): 3.9717 3.9717 4.4598
angles (deg): 90.00 90.00 90.00
Last column: nearest neighbours and their distance in Å.
Fractional positions:
Ti (0.0000, 0.5000, 0.0000)  2 H 1.99
Ti (0.5000, 0.0000, 0.0000)  2 H 1.99
Hg (0.0000, 0.0000, 0.5000)  2 H 2.23
H (0.0000, 0.0000, 0.0000)  4 Ti 1.99
Pd (0.5000, 0.5000, 0.5000)  4 Hg 2.81, 8 Ti 2.99

(4)
TcOs2Br: optimized geometry, GGA-PBE.

Values from the calculation:
space group = P4/mmm
ΔE_f (raw) = 854 meV/atom
offset from the most stable computed form = 0.1652 eV per atom
energy = -7.771 eV/atom
crystal system = tetragonal

a b c (Å): 2.8647 2.8647 7.6660
angles (deg): 90.00 90.00 90.00
Last column: nearest neighbours and their distance in Å.
Fractional positions:
Tc (0.0000, 0.0000, 0.0000)  8 Os 2.69, 4 Tc 2.86
Os (0.5000, 0.5000, 0.2308)  4 Tc 2.69, 4 Os 2.86, 4 Br 2.89
Os (0.5000, 0.5000, 0.7692)  4 Tc 2.69, 4 Os 2.86, 4 Br 2.89
Br (0.0000, 0.0000, 0.5000)  4 Br 2.86, 8 Os 2.89

(5)
TbPu2Sc: optimized geometry, GGA-PBE.

Values from the calculation:
space group = P4/mmm
DFT formation energy = 17 kJ/mol of atoms
offset from the most stable computed form = 0.0021 eV per atom
energy = -9.733 eV/atom
crystal system = tetragonal

a b c (Å): 4.6683 4.6683 4.9531
angles (deg): 90.00 90.00 90.00
Last column: nearest neighbours and their distance in Å.
Fractional positions:
Tb (0.0000, 0.0000, 0.0000)  4 Sc 3.30, 8 Pu 3.40
Pu (0.0000, 0.5000, 0.5000)  4 Pu 3.30, 4 Sc 3.40, 4 Tb 3.40
Pu (0.5000, 0.0000, 0.5000)  4 Pu 3.30, 4 Sc 3.40, 4 Tb 3.40
Sc (0.5000, 0.5000, 0.0000)  4 Tb 3.30, 8 Pu 3.40

(6)
PaNb2Te6: optimized geometry, GGA-PBE.

Values from the calculation:
space group = C2/m
ΔE_f (raw) = -332 meV/atom
energy = -5.720 eV/atom
crystal system = monoclinic

a b c (Å): 7.6538 7.6538 9.4887
angles (deg): 124.08 124.08 40.62
Last column: nearest neighbours and their distance in Å.
Fractional positions:
Pa (0.0000, 0.0000, 0.0000)  8 Te 3.00-3.35
Nb (0.1317, 0.1317, 0.5421)  6 Te 2.69-2.97
Nb (0.8683, 0.8683, 0.4579)  6 Te 2.69-2.97
Te (0.0817, 0.0817, 0.7739)  2 Nb 2.69-2.72, 1 Pa 3.00
Te (0.2625, 0.2625, 0.3899)  3 Nb 2.93-2.97
Te (0.3622, 0.3622, 0.8796)  1 Nb 2.92, 2 Pa 3.09, 1 Te 3.17
Te (0.6378, 0.6378, 0.1204)  1 Nb 2.92, 2 Pa 3.09, 1 Te 3.17
Te (0.7375, 0.7375, 0.6101)  3 Nb 2.93-2.97
Te (0.9183, 0.9183, 0.2261)  2 Nb 2.69-2.72, 1 Pa 3.00

(7)
CeNd2PaP4: optimized geometry, GGA-PBE.

Values from the calculation:
space group = P2/m
DFT formation energy = -143 kJ/mol of atoms
energy = -7.308 eV/atom
crystal system = monoclinic

a b c (Å): 7.0842 4.0888 7.0858
angles (deg): 90.00 109.41 90.00
Last column: nearest neighbours and their distance in Å.
Fractional positions:
Ce (0.0000, 0.0000, 0.0000)  6 P 2.87
Nd (0.0000, 0.5000, 0.5000)  6 P 2.97-2.98
Nd (0.5000, 0.0000, 0.5000)  6 P 2.92
Pa (0.5000, 0.5000, 0.0000)  6 P 2.81-2.82
P (0.2524, 0.5000, 0.2378)  1 Pa 2.81, 2 Ce 2.87, 3 Nd 2.92-2.98
P (0.2605, 0.0000, 0.7646)  2 Pa 2.82, 1 Ce 2.87, 3 Nd 2.92-2.97
P (0.7395, 0.0000, 0.2354)  2 Pa 2.82, 1 Ce 2.87, 3 Nd 2.92-2.97
P (0.7476, 0.5000, 0.7622)  1 Pa 2.81, 2 Ce 2.87, 3 Nd 2.92-2.98

(8)
K2AgSnF8: optimized geometry, GGA-PBE.

Values from the calculation:
space group = P-1
ΔE_f (raw) = -2311 meV/atom
energy = -4.313 eV/atom
crystal system = triclinic

a b c (Å): 5.0746 5.8244 7.6052
angles (deg): 86.49 89.19 85.91
Last column: nearest neighbours and their distance in Å.
Fractional positions:
K (0.0596, 0.0038, 0.2560)  6 F 2.59-2.76
K (0.9404, 0.9962, 0.7440)  6 F 2.59-2.76
Ag (0.5000, 0.5000, 0.0000)  4 F 2.03-2.26
Sn (0.5000, 0.5000, 0.5000)  6 F 1.98-2.07
F (0.1708, 0.6998, 0.5280)  1 Sn 1.98
F (0.2125, 0.7620, 0.9931)  1 Ag 2.03
F (0.3641, 0.3760, 0.2716)  1 Sn 2.07, 1 Ag 2.26
F (0.3647, 0.2432, 0.6526)  1 Sn 1.99
F (0.6353, 0.7568, 0.3474)  1 Sn 1.99
F (0.6359, 0.6240, 0.7284)  1 Sn 2.07, 1 Ag 2.26
F (0.7875, 0.2380, 0.0069)  1 Ag 2.03
F (0.8292, 0.3002, 0.4720)  1 Sn 1.98